# Si3AsPd

A PBEsol-optimized structure of Si3AsPd (meta-GGA SCAN, the Alexandria database).

Cell lengths 4.618, 4.618, 4.618 Å; angles 90.00, 90.00, 90.00 degrees
Space group Pm-3m (No. 221)
One atom of each set of equivalent atoms:
Si (0.000, 0.000, 0.500) (multiplicity 3)
As (0.000, 0.000, 0.000) (multiplicity 1)
Pd (0.500, 0.500, 0.500) (multiplicity 1)

## Properties
Uncorrected energy: -76.77 eV for the cell shown
Theoretical density: 4.5 g/cm³
Calculated volume: 98 Å³/f.u.